1.
GGA-PBE MgRe3, relaxed; DFT formation energy = 87 kJ/mol of formula units; SG = P2/m, No. 10; electronic total energy = -0.34950 hartree per atom; energy relative to the lowest polymorph listed for this composition = 46 meV/atom
1.0
2.7109 0.0000 0.0000
0.0000 4.4022 0.0000
-0.9402 0.0000 5.1136
Mg Re
1 3
Direct
0.0000 0.0000 0.0000
0.2860 0.5000 0.7553
0.5000 0.0000 0.5000
0.7140 0.5000 0.2447



2.
GGA-PBE KRbCr2Tc, relaxed; DFT formation energy = 1099 kJ/mol of formula units; SG = P4/mmm, No. 123; electronic total energy = -0.14909 hartree per atom
1.0
5.8940 0.0000 0.0000
0.0000 5.8940 0.0000
0.0000 0.0000 5.7496
K Rb Cr Tc
1 1 2 1
Direct
0.0000 0.0000 0.0000
0.5000 0.5000 0.5000
0.0000 0.5000 0.0000
0.5000 0.0000 0.0000
0.0000 0.0000 0.5000



3.
GGA-PBE Sc3TlIn, relaxed; DFT formation energy = 160 kJ/mol of formula units; SG = Pm-3m, No. 221; electronic total energy = -0.16492 hartree per atom; energy relative to the lowest polymorph listed for this composition = 620 meV/atom
1.0
5.3343 0.0000 0.0000
0.0000 5.3343 0.0000
0.0000 0.0000 5.3343
Sc Tl In
3 1 1
Direct
0.0000 0.0000 0.5000
0.0000 0.5000 0.0000
0.5000 0.0000 0.0000
0.5000 0.5000 0.5000
0.0000 0.0000 0.0000



4.
GGA-PBE ScPt2Br, relaxed; uncorrected formation energy = -420.5 meV/atom; SG = P4/mmm, No. 123; electronic total energy = -0.19999 hartree per atom; energy relative to the lowest polymorph listed for this composition = 370 meV/atom
1.0
2.9605 0.0000 0.0000
0.0000 2.9605 0.0000
0.0000 0.0000 9.0476
Sc Pt Br
1 2 1
Direct
0.0000 0.0000 0.0000
0.5000 0.5000 0.2025
0.5000 0.5000 0.7975
0.0000 0.0000 0.5000



5.
GGA-PBE RbCdAgF6, relaxed; uncorrected formation energy = -1809.3 meV/atom; SG = P1, No. 1; electronic total energy = -0.13167 hartree per atom
1.0
5.8172 0.0000 0.0000
-2.3642 5.3394 0.0000
-0.1645 -0.2350 5.8403
Rb Cd Ag F
1 1 1 6
Direct
0.0000 0.0000 0.0000
0.3182 0.6833 0.5009
0.6693 0.3309 0.5006
0.0209 0.6175 0.2546
0.3756 0.3416 0.3290
0.3863 0.9782 0.7486
0.6459 0.0266 0.3245
0.6596 0.6233 0.6725
0.9752 0.3538 0.6762



6.
GGA-PBE Pu2GeP, relaxed; DFT formation energy = -248 kJ/mol of formula units; SG = R-3m, No. 166; electronic total energy = -0.37910 hartree per atom; energy relative to the lowest polymorph listed for this composition = 119 meV/atom
1.0
1.9810 1.1437 7.1032
-1.9810 1.1437 7.1032
0.0000 -2.2875 7.1032
Pu Ge P
2 1 1
Direct
0.2434 0.2434 0.2434
0.7566 0.7566 0.7566
0.0000 0.0000 0.0000
0.5000 0.5000 0.5000